No. 1
This record from the Open Quantum Materials Database describes an optimized crystal structure of Y3CoN2. The functional is PBE.

Results
The space group is P6_3/mmc, No. 194. Its crystal system is hexagonal.

Cell and atoms, written as CIF:
```
data_Y3CoN2
_symmetry_space_group_name_H-M 'P 1'
_symmetry_Int_Tables_number 1
_cell_length_a 3.4649
_cell_length_b 3.4649
_cell_length_c 19.0642
_cell_angle_alpha 90.00
_cell_angle_beta 90.00
_cell_angle_gamma 120.00
loop_
_symmetry_equiv_pos_as_xyz
'x,y,z'
loop_
_atom_site_label
_atom_site_type_symbol
_atom_site_fract_x
_atom_site_fract_y
_atom_site_fract_z
Co1 Co 0.0000 0.0000 0.2500
Co2 Co 0.0000 0.0000 0.7500
N1 N 0.3333 0.6667 0.0756
N2 N 0.3333 0.6667 0.4244
N3 N 0.6667 0.3333 0.5756
N4 N 0.6667 0.3333 0.9244
Y1 Y 0.0000 0.0000 0.0000
Y2 Y 0.6667 0.3333 0.1460
Y3 Y 0.6667 0.3333 0.3540
Y4 Y 0.0000 0.0000 0.5000
Y5 Y 0.3333 0.6667 0.6460
Y6 Y 0.3333 0.6667 0.8540
```

No. 2
This record from the Open Quantum Materials Database describes an optimized crystal structure of TbErPO. The functional is PBE.

Results
The space group is Pmc2_1, No. 26. Its crystal system is orthorhombic.

Cell and atoms, written as CIF:
```
data_TbErPO
_symmetry_space_group_name_H-M 'P 1'
_symmetry_Int_Tables_number 1
_cell_length_a 4.1577
_cell_length_b 7.4359
_cell_length_c 5.7189
_cell_angle_alpha 90.00
_cell_angle_beta 90.00
_cell_angle_gamma 90.00
loop_
_symmetry_equiv_pos_as_xyz
'x,y,z'
loop_
_atom_site_label
_atom_site_type_symbol
_atom_site_fract_x
_atom_site_fract_y
_atom_site_fract_z
Er1 Er 0.0000 0.8791 0.0000
Er2 Er 0.0000 0.1209 0.5000
O1 O 0.0000 0.8323 0.3815
O2 O 0.0000 0.1677 0.8815
P1 P 0.5000 0.3353 0.4338
P2 P 0.5000 0.6647 0.9338
Tb1 Tb 0.5000 0.7023 0.4387
Tb2 Tb 0.5000 0.2977 0.9387
```

No. 3
This record from the Open Quantum Materials Database describes an optimized crystal structure of ThHN. The functional is PBE.

Results
The space group is F-43m, No. 216. Its crystal system is cubic.

Cell and atoms, written as CIF:
```
data_ThHN
_symmetry_space_group_name_H-M 'P 1'
_symmetry_Int_Tables_number 1
_cell_length_a 3.9473
_cell_length_b 3.9473
_cell_length_c 3.9473
_cell_angle_alpha 60.00
_cell_angle_beta 60.00
_cell_angle_gamma 60.00
loop_
_symmetry_equiv_pos_as_xyz
'x,y,z'
loop_
_atom_site_label
_atom_site_type_symbol
_atom_site_fract_x
_atom_site_fract_y
_atom_site_fract_z
H1 H 0.0000 0.0000 0.0000
N1 N 0.5000 0.5000 0.5000
Th1 Th 0.7500 0.7500 0.7500
```

Here are the calculated total energy numbers, same order: -98.10, -55.34, -22.98 (eV for the cell shown).
Here are the calculated total magnetization numbers, same order: 0.62, 0.01, 0.00 (μB/f.u.).